CsRbTl2Ag after structural relaxation. Source: the Alexandria database, functional PBE.

a b c (Å): 5.831 5.831 6.611
angles (deg): 90.00 90.00 90.00
Fractional coordinates of all 5 atoms:
Cs 0.000 0.000 0.500
Tl 0.000 0.500 0.000
Tl 0.500 0.000 0.000
Rb 0.500 0.500 0.500
Ag 0.000 0.000 0.000

Output
* space group: No. 123
* ΔE to the lowest computed polymorph: 32 meV/atom
* calculated volume: 44.96 A^3/atom
* E_form: 0.12 eV per atom

***

Cs2RbTlAg after structural relaxation. Source: the Alexandria database, functional PBE.

a b c (Å): 7.041 7.041 6.773
angles (deg): 90.00 90.00 90.00
Fractional coordinates of all 5 atoms:
Cs 0.000 0.500 0.000
Cs 0.500 0.000 0.000
Tl 0.500 0.500 0.500
Rb 0.000 0.000 0.500
Ag 0.000 0.000 0.000

Output
* space group: No. 123
* ΔE to the lowest computed polymorph: 92 meV/atom
* calculated volume: 67.17 A^3/atom
* E_form: 0.17 eV per atom

***

CsRbVAg2 after structural relaxation. Source: the Alexandria database, functional PBE.

a b c (Å): 6.369 6.621 6.369
angles (deg): 90.00 90.00 90.00
Each line ends with the local moment (μB).
Fractional coordinates of all 5 atoms:
Cs 0.000 0.000 0.000  0.00
Rb 0.000 0.500 0.000  0.00
Ag 0.000 0.000 0.500  0.01
Ag 0.500 0.000 0.000  0.00
V 0.500 0.500 0.500  -0.17

Output
* space group: No. 123
* calculated volume: 53.71 A^3/atom
* E_form: 1.74 eV per atom

***

CsRb2YAg after structural relaxation. Source: the Alexandria database, functional PBE.

a b c (Å): 6.812 7.012 6.812
angles (deg): 90.00 90.00 90.00
Each line ends with the local moment (μB).
Fractional coordinates of all 5 atoms:
Cs 0.000 0.500 0.000  0.03
Y 0.500 0.500 0.500  0.63
Rb 0.000 0.000 0.500  0.02
Rb 0.500 0.000 0.000  0.01
Ag 0.000 0.000 0.000  0.02

Output
* space group: No. 123
* calculated volume: 65.08 A^3/atom
* E_form: 0.62 eV per atom